Computed, not measured: a geometry-optimized Nd3SmO6 structure at the PBE-GGA level of DFT.

The space group is R-3 (No. 148, hexagonal axes) and the conventional cell measures 10.0704, 10.0704 and 11.8150 Å, with angles of 90.00, 90.00 and 120.00 degrees. The inequivalent atoms are Nd at (0.0379, 0.2653, 0.2106), Sm at (0.0000, 0.0000, 0.0000), Sm at (0.0000, 0.0000, 0.5000), O at (0.0279, 0.1865, 0.8709) and O at (0.0277, 0.2184, 0.4046).

Its spin magnetization is 0.0 μB/cell. The total energy is -494.72 eV per cell. For the energy relative to the elements, uncorrected, the calculation gives -77.7 kcal/mol of atoms.

***

Computed, not measured: a geometry-optimized ScFe3Rh4 structure at the PBE-GGA level of DFT.

The space group is P4/mmm (No. 123) and the conventional cell measures 4.3337, 4.3337 and 6.1167 Å, with angles of 90.00, 90.00 and 90.00 degrees. The inequivalent atoms are Sc at (0.0000, 0.0000, 0.0000), Fe at (0.0000, 0.0000, 0.5000), Fe at (0.5000, 0.5000, 0.0000), Fe at (0.5000, 0.5000, 0.5000) and Rh at (0.0000, 0.5000, 0.2596).

The value obtained for the formation energy is -2.2 eV per formula unit. Its spin magnetization is 12.8 μB/cell. The total energy is -63.31 eV per cell.

***

Computed, not measured: a geometry-optimized Tm4Bi2C structure at the PBE-GGA level of DFT.

The space group is I4/mmm (No. 139) and the conventional cell measures 4.7847, 4.7847 and 15.7918 Å, with angles of 90.00, 90.00 and 90.00 degrees. The inequivalent atoms are Tm at (0.0000, 0.0000, 0.1515), Tm at (0.0000, 0.5000, 0.0000), Bi at (0.0000, 0.0000, 0.3545) and C at (0.0000, 0.0000, 0.0000).

The value obtained for the formation energy is -4.4 eV per formula unit. Its spin magnetization is 0.0 μB/cell. The total energy is -78.48 eV per cell.

***

Computed, not measured: a geometry-optimized SrLiCd3Pt structure at the PBE-GGA level of DFT.

The space group is Cmcm (No. 63) and the conventional cell measures 6.9282, 13.4555 and 6.0309 Å, with angles of 90.00, 90.00 and 90.00 degrees. The inequivalent atoms are Sr at (0.0000, 0.2127, 0.2500), Li at (0.0000, 0.4377, 0.2500), Cd at (0.0000, 0.3521, 0.7500), Cd at (0.2095, 0.0000, 0.0000) and Pt at (0.0000, 0.1473, 0.7500).

The value obtained for the formation energy is -1.7 eV per formula unit. Its spin magnetization is 0.0 μB/cell. The total energy is -56.45 eV per cell.

***

Computed, not measured: a geometry-optimized Ag2SnTe2 structure at the PBE-GGA level of DFT.

The space group is I4/mmm (No. 139) and the conventional cell measures 4.1525, 4.1525 and 15.4546 Å, with angles of 90.00, 90.00 and 90.00 degrees. The inequivalent atoms are Ag at (0.0000, 0.5000, 0.2500), Sn at (0.0000, 0.0000, 0.0000) and Te at (0.0000, 0.0000, 0.3852).

Its spin magnetization is 0.0 μB/cell. The total energy is -32.35 eV per cell. For the energy relative to the elements, uncorrected, the calculation gives -0.9 kcal/mol of atoms.

***

Computed, not measured: a geometry-optimized Cs3Pr2NpO6 structure at the PBE-GGA level of DFT.

The space group is C2/m (No. 12) and the conventional cell measures 6.4094, 11.0983 and 7.2859 Å, with angles of 90.00, 107.07 and 90.00 degrees. The inequivalent atoms are Cs at (0.0000, 0.0000, 0.0000), Cs at (0.0000, 0.3330, 0.0000), Pr at (0.0000, 0.1666, 0.5000), Np at (0.0000, 0.5000, 0.5000), O at (0.2123, 0.3421, 0.6627) and O at (0.2384, 0.0000, 0.6636).

Its spin magnetization is 7.4 μB/cell. The total energy is -166.40 eV per cell. For the energy relative to the elements, uncorrected, the calculation gives -54.6 kcal/mol of atoms.

***

> Which value of spin magnetization does entry 2 give?

12.8 μB/cell

***

What did the fourth record say?
Computed, not measured: a geometry-optimized SrLiCd3Pt structure at the PBE-GGA level of DFT.

The space group is Cmcm (No. 63) and the conventional cell measures 6.9282, 13.4555 and 6.0309 Å, with angles of 90.00, 90.00 and 90.00 degrees. The inequivalent atoms are Sr at (0.0000, 0.2127, 0.2500), Li at (0.0000, 0.4377, 0.2500), Cd at (0.0000, 0.3521, 0.7500), Cd at (0.2095, 0.0000, 0.0000) and Pt at (0.0000, 0.1473, 0.7500).

The value obtained for the formation energy is -1.7 eV per formula unit. Its spin magnetization is 0.0 μB/cell. The total energy is -56.45 eV per cell.

***

> The highest total energy belongs to which entry?

Ag2SnTe2